The following is a DFT calculation (PBE-GGA) of a geometry-optimized PmBiP structure.

Structure (CIF):
```
data_PmBiP
_chemical_formula_sum 'Pm2 Bi2 P2'
_cell_length_a 3.952
_cell_length_b 3.952
_cell_length_c 11.294
_cell_angle_alpha 90.00
_cell_angle_beta 90.00
_cell_angle_gamma 90.00
_symmetry_space_group_name_H-M 'I 4 m m'
_symmetry_Int_Tables_number 107
_symmetry_space_group_name_Hall 'I 4 -2'
loop_
_atom_site_label
_atom_site_type_symbol
_atom_site_fract_x
_atom_site_fract_y
_atom_site_fract_z
Pm1 Pm 0.000 0.000 0.000
Bi1 Bi 0.000 0.000 0.310
P1 P 0.000 0.000 0.552
```

As for the energy relative to the elements: -694 meV per atom. The calculation puts the polymorph energy (0 for the lowest one) at 0.000 eV/atom. The total energy comes out at -5.374 eV/atom.



The following is a DFT calculation (PBE-GGA) of a geometry-optimized Pt5Br4 structure.

Structure (CIF):
```
data_Pt5Br4
_chemical_formula_sum 'Pt10 Br8'
_cell_length_a 10.394
_cell_length_b 10.394
_cell_length_c 3.292
_cell_angle_alpha 90.00
_cell_angle_beta 90.00
_cell_angle_gamma 90.00
_symmetry_space_group_name_H-M 'I 4/m m m'
_symmetry_Int_Tables_number 139
_symmetry_space_group_name_Hall '-I 4 2'
loop_
_atom_site_label
_atom_site_type_symbol
_atom_site_fract_x
_atom_site_fract_y
_atom_site_fract_z
Pt1 Pt 0.000 0.000 0.000
Pt2 Pt 0.170 0.170 0.500
Br1 Br 0.000 0.286 0.000
```

The calculation puts the polymorph energy (0 for the lowest one) at 0.000 eV/atom. The total energy comes out at -3.527 eV/atom. As for the formation energy from raw total energies: 0.572 eV/atom.



The following is a DFT calculation (PBE-GGA) of a geometry-optimized DyGaSn2 structure.

Structure (CIF):
```
data_DyGaSn2
_chemical_formula_sum 'Dy2 Ga2 Sn4'
_cell_length_a 4.421
_cell_length_b 4.421
_cell_length_c 9.790
_cell_angle_alpha 90.00
_cell_angle_beta 90.00
_cell_angle_gamma 90.00
_symmetry_space_group_name_H-M 'I 4/m m m'
_symmetry_Int_Tables_number 139
_symmetry_space_group_name_Hall '-I 4 2'
loop_
_atom_site_label
_atom_site_type_symbol
_atom_site_fract_x
_atom_site_fract_y
_atom_site_fract_z
Dy1 Dy 0.000 0.000 0.000
Ga1 Ga 0.000 0.000 0.500
Sn1 Sn 0.000 0.500 0.250
```

As for the energy relative to the elements: -463 meV per atom. The calculation puts the polymorph energy (0 for the lowest one) at 0.000 eV/atom. The total energy comes out at -4.371 eV/atom.



The following is a DFT calculation (PBE-GGA) of a geometry-optimized Hf2ReIrAu structure.

Structure (CIF):
```
data_Hf2ReIrAu
_chemical_formula_sum 'Hf2 Re1 Ir1 Au1'
_cell_length_a 5.029
_cell_length_b 5.029
_cell_length_c 4.636
_cell_angle_alpha 90.00
_cell_angle_beta 90.00
_cell_angle_gamma 90.00
_symmetry_space_group_name_H-M 'P 4/m m m'
_symmetry_Int_Tables_number 123
_symmetry_space_group_name_Hall '-P 4 2'
loop_
_atom_site_label
_atom_site_type_symbol
_atom_site_fract_x
_atom_site_fract_y
_atom_site_fract_z
Hf1 Hf 0.000 0.500 0.000
Re1 Re 0.000 0.000 0.000
Ir1 Ir 0.000 0.000 0.500
Au1 Au 0.500 0.500 0.500
```

As for the energy relative to the elements: 759 meV per atom. The total energy comes out at -8.140 eV/atom.



The following is a DFT calculation (PBE-GGA) of a geometry-optimized Sr2MgSn structure.

Structure (CIF):
```
data_Sr2MgSn
_chemical_formula_sum 'Sr2 Mg1 Sn1'
_cell_length_a 5.490
_cell_length_b 5.490
_cell_length_c 4.473
_cell_angle_alpha 90.00
_cell_angle_beta 90.00
_cell_angle_gamma 90.00
_symmetry_space_group_name_H-M 'P 4/m m m'
_symmetry_Int_Tables_number 123
_symmetry_space_group_name_Hall '-P 4 2'
loop_
_atom_site_label
_atom_site_type_symbol
_atom_site_fract_x
_atom_site_fract_y
_atom_site_fract_z
Sr1 Sr 0.000 0.500 0.000
Mg1 Mg 0.000 0.000 0.500
Sn1 Sn 0.500 0.500 0.500
```

As for the energy relative to the elements: -377 meV per atom. The total energy comes out at -2.618 eV/atom.



The following is a DFT calculation (PBE-GGA) of a geometry-optimized Nb4Ga structure.

Structure (CIF):
```
data_Nb4Ga
_chemical_formula_sum 'Nb4 Ga1'
_cell_length_a 4.732
_cell_length_b 4.732
_cell_length_c 4.732
_cell_angle_alpha 90.00
_cell_angle_beta 90.00
_cell_angle_gamma 90.00
_symmetry_space_group_name_H-M 'P m -3 m'
_symmetry_Int_Tables_number 221
_symmetry_space_group_name_Hall '-P 4 2 3'
loop_
_atom_site_label
_atom_site_type_symbol
_atom_site_fract_x
_atom_site_fract_y
_atom_site_fract_z
Nb1 Nb 0.000 0.000 0.000
Nb2 Nb 0.000 0.500 0.500
Ga1 Ga 0.500 0.500 0.500
```

As for the energy relative to the elements: 1087 meV per atom. The calculation puts the polymorph energy (0 for the lowest one) at 0.927 eV/atom. The total energy comes out at -7.574 eV/atom.



The following is a DFT calculation (PBE-GGA) of a geometry-optimized EuErAgBi structure.

Structure (CIF):
```
data_EuErAgBi
_chemical_formula_sum 'Eu4 Er4 Ag4 Bi4'
_cell_length_a 7.629
_cell_length_b 7.629
_cell_length_c 7.629
_cell_angle_alpha 90.00
_cell_angle_beta 90.00
_cell_angle_gamma 90.00
_symmetry_space_group_name_H-M 'F -4 3 m'
_symmetry_Int_Tables_number 216
_symmetry_space_group_name_Hall 'F -4 2 3'
loop_
_atom_site_label
_atom_site_type_symbol
_atom_site_fract_x
_atom_site_fract_y
_atom_site_fract_z
Eu1 Eu 0.000 0.000 0.000
Er1 Er 0.000 0.000 0.500
Ag1 Ag 0.250 0.250 0.750
Bi1 Bi 0.250 0.250 0.250
```

As for the energy relative to the elements: -461 meV per atom. The total energy comes out at -5.854 eV/atom.



The following is a DFT calculation (PBE-GGA) of a geometry-optimized Na2InGa structure.

Structure (CIF):
```
data_Na2InGa
_chemical_formula_sum 'Na2 In1 Ga1'
_cell_length_a 4.422
_cell_length_b 4.422
_cell_length_c 5.045
_cell_angle_alpha 90.00
_cell_angle_beta 90.00
_cell_angle_gamma 90.00
_symmetry_space_group_name_H-M 'P 4/m m m'
_symmetry_Int_Tables_number 123
_symmetry_space_group_name_Hall '-P 4 2'
loop_
_atom_site_label
_atom_site_type_symbol
_atom_site_fract_x
_atom_site_fract_y
_atom_site_fract_z
Na1 Na 0.000 0.500 0.000
In1 In 0.000 0.000 0.500
Ga1 Ga 0.500 0.500 0.500
```

As for the energy relative to the elements: -43 meV per atom. The calculation puts the polymorph energy (0 for the lowest one) at 0.052 eV/atom. The total energy comes out at -2.144 eV/atom.